Below is an optimized crystal structure of NaAcCrF6, with properties calculated at the PBE with a Hubbard U level.

Computed properties:
Crystal system: trigonal
Symmetry: No. 163
Total DFT energy (no corrections) in eV/atom: -5.752

Unit cell a=6.189 b=6.189 c=8.143 alpha=90.00 beta=90.00 gamma=120.00
Last column: magnetic moment on the atom in μB.
Atoms (fractional coordinates):
1 Na 0.000 0.000 0.000  0.00
2 Na 0.000 0.000 0.500  0.00
3 Ac 0.333 0.667 0.250  0.00
4 Ac 0.667 0.333 0.750  0.00
5 Cr 0.667 0.333 0.250  1.94
6 Cr 0.333 0.667 0.750  1.94
7 F 0.675 0.630 0.124  0.00
8 F 0.955 0.325 0.124  0.00
9 F 0.325 0.955 0.624  0.00
10 F 0.045 0.675 0.876  0.00
11 F 0.370 0.325 0.376  0.00
12 F 0.955 0.630 0.376  0.00
13 F 0.630 0.955 0.876  0.00
14 F 0.675 0.045 0.376  0.00
15 F 0.045 0.370 0.624  0.00
16 F 0.370 0.045 0.124  0.00
17 F 0.630 0.675 0.624  0.00
18 F 0.325 0.370 0.876  0.00